(1)
# PBE Pm3Sm3Pd4, relaxed
data_Pm3Sm3Pd4
_space_group_name_H-M_alt 'A m m 2'
_space_group_IT_number 38
_cell_length_a 3.971
_cell_length_b 11.331
_cell_length_c 11.365
_cell_angle_alpha 90.00
_cell_angle_beta 90.00
_cell_angle_gamma 90.00
loop_
_space_group_symop_operation_xyz
'x,y,z'
'-x,-y,z'
'-x,y,z'
'x,-y,z'
'x,y+1/2,z+1/2'
'-x,-y+1/2,z+1/2'
'-x,y+1/2,z+1/2'
'x,-y+1/2,z+1/2'
loop_
_atom_site_label
_atom_site_fract_x
_atom_site_fract_y
_atom_site_fract_z
_atom_site_occupancy
Pm1 0.000 0.000 0.000 1
Pm2 0.500 0.250 0.083 1
Sm1 0.000 0.000 0.666 1
Sm2 0.000 0.167 0.334 1
Pd1 0.500 0.000 0.207 1
Pd2 0.500 0.000 0.461 1
Pd3 0.500 0.128 0.832 1
# Calculated formation energy = -0.655 eV/atom
# DOS(E_F) = 16.0 states/eV/cell
# E = -5.5728 eV/atom

=====

(2)
# PBE Pm4SmPd5, relaxed
data_Pm4SmPd5
_space_group_name_H-M_alt 'P 4/m m m'
_space_group_IT_number 123
_space_group_name_Hall '-P 4 2'
_cell_length_a 3.559
_cell_length_b 3.559
_cell_length_c 18.338
_cell_angle_alpha 90.00
_cell_angle_beta 90.00
_cell_angle_gamma 90.00
loop_
_atom_site_label
_atom_site_fract_x
_atom_site_fract_y
_atom_site_fract_z
_atom_site_occupancy
Pm1 0.000 0.000 0.100 1
Pm2 0.000 0.000 0.301 1
Sm1 0.000 0.000 0.500 1
Pd1 0.500 0.500 0.000 1
Pd2 0.500 0.500 0.200 1
Pd3 0.500 0.500 0.402 1
# Calculated formation energy = -0.769 eV/atom
# DOS(E_F) = 7.4 states/eV/cell
# E = -5.7378 eV/atom

=====

(3)
# PBE Pm5Sm2Pd4, relaxed
data_Pm5Sm2Pd4
_space_group_name_H-M_alt 'C 1 2/m 1'
_space_group_IT_number 12
_cell_length_a 25.241
_cell_length_b 3.645
_cell_length_c 6.956
_cell_angle_alpha 90.00
_cell_angle_beta 91.56
_cell_angle_gamma 90.00
loop_
_space_group_symop_operation_xyz
'x,y,z'
'-x,-y,-z'
'-x,y,-z'
'x,-y,z'
'x+1/2,y+1/2,z'
'-x+1/2,-y+1/2,-z'
'-x+1/2,y+1/2,-z'
'x+1/2,-y+1/2,z'
loop_
_atom_site_label
_atom_site_fract_x
_atom_site_fract_y
_atom_site_fract_z
_atom_site_occupancy
Pm1 0.000 0.000 0.000 1
Pm2 0.133 0.500 0.174 1
Pm3 0.233 0.500 0.750 1
Sm1 0.091 0.500 0.661 1
Pd1 0.025 0.500 0.316 1
Pd2 0.171 0.000 0.487 1
# Calculated formation energy = -0.353 eV/atom
# DOS(E_F) = 23.7 states/eV/cell
# E = -5.2590 eV/atom

=====

(4)
# PBE Pm4Sm3Pd4, relaxed
data_Pm4Sm3Pd4
_space_group_name_H-M_alt 'I m m m'
_space_group_IT_number 71
_space_group_name_Hall '-I 2 2'
_cell_length_a 4.834
_cell_length_b 7.692
_cell_length_c 15.858
_cell_angle_alpha 90.00
_cell_angle_beta 90.00
_cell_angle_gamma 90.00
loop_
_atom_site_label
_atom_site_fract_x
_atom_site_fract_y
_atom_site_fract_z
_atom_site_occupancy
Pm1 0.000 0.219 0.170 1
Sm1 0.000 0.000 0.400 1
Sm2 0.000 0.500 0.500 1
Pd1 0.000 0.319 0.000 1
Pd2 0.000 0.500 0.298 1
# Calculated formation energy = -0.498 eV/atom
# DOS(E_F) = 25.2 states/eV/cell
# E = -5.4007 eV/atom

=====

(5)
# PBE Pm2SmPd3, relaxed
data_Pm2SmPd3
_space_group_name_H-M_alt 'P m m n'
_space_group_IT_number 59
_cell_length_a 5.135
_cell_length_b 15.409
_cell_length_c 3.515
_cell_angle_alpha 90.00
_cell_angle_beta 90.00
_cell_angle_gamma 90.00
loop_
_space_group_symop_operation_xyz
'x,y,z'
'-x,-y,-z'
'-x+1/2,-y+1/2,z'
'x+1/2,y+1/2,-z'
'x+1/2,-y,-z'
'-x+1/2,y,z'
'-x,y+1/2,-z'
'x,-y+1/2,z'
loop_
_atom_site_label
_atom_site_fract_x
_atom_site_fract_y
_atom_site_fract_z
_atom_site_occupancy
Pm1 0.250 0.083 0.000 1
Sm1 0.250 0.750 0.001 1
Pd1 0.250 0.250 0.499 1
Pd2 0.250 0.585 0.500 1
# Energy above the lowest structure with this stoichiometry = 0 meV/atom
# Calculated formation energy = -0.775 eV/atom
# DOS(E_F) = 7.6 states/eV/cell
# E = -5.7419 eV/atom

=====

(6)
# PBE PmSm5Pd2, relaxed
data_PmSm5Pd2
_space_group_name_H-M_alt 'C m c m'
_space_group_IT_number 63
_space_group_name_Hall '-C 2c 2'
_cell_length_a 3.917
_cell_length_b 12.704
_cell_length_c 18.786
_cell_angle_alpha 90.00
_cell_angle_beta 90.00
_cell_angle_gamma 90.00
loop_
_atom_site_label
_atom_site_fract_x
_atom_site_fract_y
_atom_site_fract_z
_atom_site_occupancy
Pm1 0.000 0.137 0.250 1
Sm1 0.000 0.130 0.750 1
Sm2 0.000 0.148 0.039 1
Sm3 0.000 0.441 0.111 1
Pd1 0.000 0.264 0.630 1
# Calculated formation energy = -0.333 eV/atom
# DOS(E_F) = 32.5 states/eV/cell
# E = -5.1742 eV/atom

=====

(7)
# PBE Pm4SmPd2, relaxed
data_Pm4SmPd2
_space_group_name_H-M_alt 'P 1 21/m 1'
_space_group_IT_number 11
_cell_length_a 7.991
_cell_length_b 6.574
_cell_length_c 8.329
_cell_angle_alpha 90.00
_cell_angle_beta 113.57
_cell_angle_gamma 90.00
loop_
_space_group_symop_operation_xyz
'x,y,z'
'-x,-y,-z'
'-x,y+1/2,-z'
'x,-y+1/2,z'
loop_
_atom_site_label
_atom_site_fract_x
_atom_site_fract_y
_atom_site_fract_z
_atom_site_occupancy
Pm1 0.018 0.250 0.388 1
Pm2 0.245 0.750 0.350 1
Pm3 0.408 0.009 0.772 1
Sm1 0.155 0.250 0.029 1
Pd1 0.230 0.750 0.992 1
Pd2 0.379 0.250 0.412 1
# Calculated formation energy = -0.370 eV/atom
# DOS(E_F) = 18.7 states/eV/cell
# E = -5.2428 eV/atom

=====

(8)
# PBE PmSm2Pd, relaxed
data_PmSm2Pd
_space_group_name_H-M_alt 'P 4/m m m'
_space_group_IT_number 123
_space_group_name_Hall '-P 4 2'
_cell_length_a 3.658
_cell_length_b 3.658
_cell_length_c 8.616
_cell_angle_alpha 90.00
_cell_angle_beta 90.00
_cell_angle_gamma 90.00
loop_
_atom_site_label
_atom_site_fract_x
_atom_site_fract_y
_atom_site_fract_z
_atom_site_occupancy
Pm1 0.000 0.000 0.000 1
Sm1 0.500 0.500 0.303 1
Pd1 0.000 0.000 0.500 1
# Energy above the lowest structure with this stoichiometry = 73 meV/atom
# Calculated formation energy = -0.352 eV/atom
# DOS(E_F) = 6.3 states/eV/cell
# E = -5.1976 eV/atom

=====

(9)
# PBE PmSmPd, relaxed
data_PmSmPd
_space_group_name_H-M_alt 'P -6 2 c'
_space_group_IT_number 190
_space_group_name_Hall 'P -6c -2c'
_cell_length_a 8.2847
_cell_length_b 8.2847
_cell_length_c 8.0577
_cell_angle_alpha 90.00
_cell_angle_beta 90.00
_cell_angle_gamma 120.00
loop_
_atom_site_label
_atom_site_fract_x
_atom_site_fract_y
_atom_site_fract_z
_atom_site_occupancy
Pm1 0.0000 0.2630 0.0000 1
Sm1 0.0205 0.6071 0.2500 1
Pd1 0.0000 0.0000 0.2500 1
Pd2 0.3333 0.6667 0.5571 1
# Energy above the lowest structure with this stoichiometry = 7 meV/atom
# Calculated formation energy = -0.463 eV/atom
# DOS(E_F) = 23.2 states/eV/cell
# E = -5.3510 eV/atom

=====

(10)
# PBE PmSm2Pd, relaxed
data_PmSm2Pd
_space_group_name_H-M_alt 'R -3 m'
_space_group_IT_number 166
_space_group_name_Hall '-R 3 2"'
_cell_length_a 3.7796
_cell_length_b 3.7796
_cell_length_c 29.5731
_cell_angle_alpha 90.00
_cell_angle_beta 90.00
_cell_angle_gamma 120.00
loop_
_atom_site_label
_atom_site_fract_x
_atom_site_fract_y
_atom_site_fract_z
_atom_site_occupancy
Pm1 0.0000 0.0000 0.0000 1
Sm1 0.0000 0.0000 0.2317 1
Pd1 0.0000 0.0000 0.5000 1
# Energy above the lowest structure with this stoichiometry = 156 meV/atom
# Calculated formation energy = -0.269 eV/atom
# DOS(E_F) = 12.7 states/eV/cell
# E = -5.1145 eV/atom

=====

(11)
# PBE PmSm2Pd, relaxed
data_PmSm2Pd
_space_group_name_H-M_alt 'C m c m'
_space_group_IT_number 63
_space_group_name_Hall '-C 2c 2'
_cell_length_a 3.874
_cell_length_b 12.351
_cell_length_c 9.719
_cell_angle_alpha 90.00
_cell_angle_beta 90.00
_cell_angle_gamma 90.00
loop_
_atom_site_label
_atom_site_fract_x
_atom_site_fract_y
_atom_site_fract_z
_atom_site_occupancy
Pm1 0.000 0.070 0.250 1
Sm1 0.000 0.364 0.061 1
Pd1 0.000 0.233 0.750 1
# Energy above the lowest structure with this stoichiometry = 18 meV/atom
# Calculated formation energy = -0.407 eV/atom
# DOS(E_F) = 21.6 states/eV/cell
# E = -5.2528 eV/atom

=====

(12)
# PBE PmSmPd, relaxed
data_PmSmPd
_space_group_name_H-M_alt 'P 3 m 1'
_space_group_IT_number 156
_cell_length_a 4.8391
_cell_length_b 4.8391
_cell_length_c 3.9355
_cell_angle_alpha 90.00
_cell_angle_beta 90.00
_cell_angle_gamma 120.00
loop_
_space_group_symop_operation_xyz
'x,y,z'
'-y,x-y,z'
'-x+y,-x,z'
'-y,-x,z'
'-x+y,y,z'
'x,x-y,z'
loop_
_atom_site_label
_atom_site_fract_x
_atom_site_fract_y
_atom_site_fract_z
_atom_site_occupancy
Pm1 0.0000 0.0000 0.0000 1
Sm1 0.6667 0.3333 0.4448 1
Pd1 0.3333 0.6667 0.7131 1
# Energy above the lowest structure with this stoichiometry = 108 meV/atom
# Calculated formation energy = -0.362 eV/atom
# DOS(E_F) = 2.9 states/eV/cell
# E = -5.2500 eV/atom

=====

(13)
# PBE PmSm2Pd, relaxed
data_PmSm2Pd
_space_group_name_H-M_alt 'R 3 m'
_space_group_IT_number 160
_space_group_name_Hall 'R 3 -2"'
_cell_length_a 3.8860
_cell_length_b 3.8860
_cell_length_c 28.4596
_cell_angle_alpha 90.00
_cell_angle_beta 90.00
_cell_angle_gamma 120.00
loop_
_atom_site_label
_atom_site_fract_x
_atom_site_fract_y
_atom_site_fract_z
_atom_site_occupancy
Pm1 0.0000 0.0000 0.0000 1
Sm1 0.0000 0.0000 0.5633 1
Sm2 0.0000 0.0000 0.7690 1
Pd1 0.0000 0.0000 0.1659 1
# Energy above the lowest structure with this stoichiometry = 153 meV/atom
# Calculated formation energy = -0.272 eV/atom
# DOS(E_F) = 13.5 states/eV/cell
# E = -5.1176 eV/atom

=====

(14)
# PBE Pm3Sm2Pd2, relaxed
data_Pm3Sm2Pd2
_space_group_name_H-M_alt 'C 1 2/m 1'
_space_group_IT_number 12
_cell_length_a 12.543
_cell_length_b 3.844
_cell_length_c 9.214
_cell_angle_alpha 90.00
_cell_angle_beta 115.59
_cell_angle_gamma 90.00
loop_
_space_group_symop_operation_xyz
'x,y,z'
'-x,-y,-z'
'-x,y,-z'
'x,-y,z'
'x+1/2,y+1/2,z'
'-x+1/2,-y+1/2,-z'
'-x+1/2,y+1/2,-z'
'x+1/2,-y+1/2,z'
loop_
_atom_site_label
_atom_site_fract_x
_atom_site_fract_y
_atom_site_fract_z
_atom_site_occupancy
Pm1 0.000 0.000 0.000 1
Pm2 0.115 0.000 0.441 1
Sm1 0.158 0.500 0.811 1
Pd1 0.168 0.500 0.230 1
# Calculated formation energy = -0.463 eV/atom
# DOS(E_F) = 17.2 states/eV/cell
# E = -5.3314 eV/atom

=====

(15)
# PBE PmSm2Pd2, relaxed
data_PmSm2Pd2
_space_group_name_H-M_alt 'P 1 21/m 1'
_space_group_IT_number 11
_cell_length_a 5.610
_cell_length_b 4.674
_cell_length_c 10.612
_cell_angle_alpha 90.00
_cell_angle_beta 97.23
_cell_angle_gamma 90.00
loop_
_space_group_symop_operation_xyz
'x,y,z'
'-x,-y,-z'
'-x,y+1/2,-z'
'x,-y+1/2,z'
loop_
_atom_site_label
_atom_site_fract_x
_atom_site_fract_y
_atom_site_fract_z
_atom_site_occupancy
Pm1 0.095 0.250 0.287 1
Sm1 0.255 0.250 0.964 1
Sm2 0.389 0.250 0.619 1
Pd1 0.148 0.750 0.475 1
Pd2 0.260 0.750 0.135 1
# Energy above the lowest structure with this stoichiometry = 47 meV/atom
# Calculated formation energy = -0.610 eV/atom
# DOS(E_F) = 7.6 states/eV/cell
# E = -5.5248 eV/atom

=====

(16)
# PBE PmSmPd, relaxed
data_PmSmPd
_space_group_name_H-M_alt 'P -1'
_space_group_IT_number 2
_cell_length_a 3.627
_cell_length_b 6.770
_cell_length_c 7.262
_cell_angle_alpha 105.52
_cell_angle_beta 90.07
_cell_angle_gamma 105.53
loop_
_space_group_symop_operation_xyz
'x,y,z'
'-x,-y,-z'
loop_
_atom_site_label
_atom_site_fract_x
_atom_site_fract_y
_atom_site_fract_z
_atom_site_occupancy
Pm1 0.137 0.274 0.068 1
Sm1 0.138 0.275 0.569 1
Pd1 0.500 0.000 0.256 1
# Energy above the lowest structure with this stoichiometry = 0 meV/atom
# Calculated formation energy = -0.470 eV/atom
# DOS(E_F) = 7.5 states/eV/cell
# E = -5.3578 eV/atom

=====

(17)
# PBE PmSmPd, relaxed
data_PmSmPd
_space_group_name_H-M_alt 'F -4 3 m'
_space_group_IT_number 216
_space_group_name_Hall 'F -4 2 3'
_cell_length_a 7.072
_cell_length_b 7.072
_cell_length_c 7.072
_cell_angle_alpha 90.00
_cell_angle_beta 90.00
_cell_angle_gamma 90.00
loop_
_atom_site_label
_atom_site_fract_x
_atom_site_fract_y
_atom_site_fract_z
_atom_site_occupancy
Pm1 0.000 0.000 0.000 1
Sm1 0.000 0.000 0.500 1
Pd1 0.250 0.250 0.250 1
# Energy above the lowest structure with this stoichiometry = 79 meV/atom
# Calculated formation energy = -0.392 eV/atom
# DOS(E_F) = 15.3 states/eV/cell
# E = -5.2792 eV/atom

=====

(18)
# PBE PmSm2Pd4, relaxed
data_PmSm2Pd4
_space_group_name_H-M_alt 'C 1 2/m 1'
_space_group_IT_number 12
_cell_length_a 9.267
_cell_length_b 5.600
_cell_length_c 7.629
_cell_angle_alpha 90.00
_cell_angle_beta 114.96
_cell_angle_gamma 90.00
loop_
_space_group_symop_operation_xyz
'x,y,z'
'-x,-y,-z'
'-x,y,-z'
'x,-y,z'
'x+1/2,y+1/2,z'
'-x+1/2,-y+1/2,-z'
'-x+1/2,y+1/2,-z'
'x+1/2,-y+1/2,z'
loop_
_atom_site_label
_atom_site_fract_x
_atom_site_fract_y
_atom_site_fract_z
_atom_site_occupancy
Pm1 0.000 0.000 0.000 1
Sm1 0.250 0.000 0.651 1
Pd1 0.139 0.500 0.655 1
Pd2 0.250 0.250 0.000 1
# Calculated formation energy = -0.503 eV/atom
# DOS(E_F) = 8.4 states/eV/cell
# E = -5.4971 eV/atom

=====

(19)
# PBE PmSmPd, relaxed
data_PmSmPd
_space_group_name_H-M_alt 'P -1'
_space_group_IT_number 2
_cell_length_a 3.846
_cell_length_b 4.299
_cell_length_c 10.749
_cell_angle_alpha 89.94
_cell_angle_beta 89.91
_cell_angle_gamma 89.95
loop_
_space_group_symop_operation_xyz
'x,y,z'
'-x,-y,-z'
loop_
_atom_site_label
_atom_site_fract_x
_atom_site_fract_y
_atom_site_fract_z
_atom_site_occupancy
Pm1 0.250 0.250 0.109 1
Sm1 0.250 0.750 0.387 1
Pd1 0.250 0.750 0.671 1
# Energy above the lowest structure with this stoichiometry = 37 meV/atom
# Calculated formation energy = -0.434 eV/atom
# DOS(E_F) = 5.1 states/eV/cell
# E = -5.3211 eV/atom

=====

(20)
# PBE Pm3Sm4Pd4, relaxed
data_Pm3Sm4Pd4
_space_group_name_H-M_alt 'I m m m'
_space_group_IT_number 71
_space_group_name_Hall '-I 2 2'
_cell_length_a 4.838
_cell_length_b 7.673
_cell_length_c 15.812
_cell_angle_alpha 90.00
_cell_angle_beta 90.00
_cell_angle_gamma 90.00
loop_
_atom_site_label
_atom_site_fract_x
_atom_site_fract_y
_atom_site_fract_z
_atom_site_occupancy
Pm1 0.000 0.000 0.000 1
Pm2 0.000 0.500 0.101 1
Sm1 0.000 0.281 0.330 1
Pd1 0.000 0.000 0.203 1
Pd2 0.000 0.182 0.500 1
# Calculated formation energy = -0.514 eV/atom
# DOS(E_F) = 24.5 states/eV/cell
# E = -5.4136 eV/atom

=====

(21)
# PBE PmSm4Pd2, relaxed
data_PmSm4Pd2
_space_group_name_H-M_alt 'R -3 m'
_space_group_IT_number 166
_space_group_name_Hall '-R 3 2"'
_cell_length_a 4.0443
_cell_length_b 4.0443
_cell_length_c 46.1328
_cell_angle_alpha 90.00
_cell_angle_beta 90.00
_cell_angle_gamma 120.00
loop_
_atom_site_label
_atom_site_fract_x
_atom_site_fract_y
_atom_site_fract_z
_atom_site_occupancy
Pm1 0.0000 0.0000 0.0000 1
Sm1 0.0000 0.0000 0.1982 1
Sm2 0.0000 0.0000 0.3959 1
Pd1 0.0000 0.0000 0.0989 1
# Energy above the lowest structure with this stoichiometry = 107 meV/atom
# Calculated formation energy = -0.317 eV/atom
# DOS(E_F) = 27.4 states/eV/cell
# E = -5.1757 eV/atom

=====

(22)
# PBE Pm3SmPd3, relaxed
data_Pm3SmPd3
_space_group_name_H-M_alt 'C 1 2/m 1'
_space_group_IT_number 12
_cell_length_a 9.491
_cell_length_b 10.686
_cell_length_c 7.234
_cell_angle_alpha 90.00
_cell_angle_beta 91.56
_cell_angle_gamma 90.00
loop_
_space_group_symop_operation_xyz
'x,y,z'
'-x,-y,-z'
'-x,y,-z'
'x,-y,z'
'x+1/2,y+1/2,z'
'-x+1/2,-y+1/2,-z'
'-x+1/2,y+1/2,-z'
'x+1/2,-y+1/2,z'
loop_
_atom_site_label
_atom_site_fract_x
_atom_site_fract_y
_atom_site_fract_z
_atom_site_occupancy
Pm1 0.000 0.177 0.000 1
Pm2 0.000 0.251 0.500 1
Pm3 0.155 0.500 0.871 1
Sm1 0.241 0.500 0.376 1
Pd1 0.063 0.000 0.309 1
Pd2 0.241 0.255 0.221 1
# Calculated formation energy = -0.618 eV/atom
# DOS(E_F) = 24.3 states/eV/cell
# E = -5.5537 eV/atom

=====

(23)
# PBE PmSmPd3, relaxed
data_PmSmPd3
_space_group_name_H-M_alt 'P n n m'
_space_group_IT_number 58
_cell_length_a 6.958
_cell_length_b 7.972
_cell_length_c 7.959
_cell_angle_alpha 90.00
_cell_angle_beta 90.00
_cell_angle_gamma 90.00
loop_
_space_group_symop_operation_xyz
'x,y,z'
'-x,-y,-z'
'-x,-y,z'
'x,y,-z'
'x+1/2,-y+1/2,-z+1/2'
'-x+1/2,y+1/2,z+1/2'
'-x+1/2,y+1/2,-z+1/2'
'x+1/2,-y+1/2,z+1/2'
loop_
_atom_site_label
_atom_site_fract_x
_atom_site_fract_y
_atom_site_fract_z
_atom_site_occupancy
Pm1 0.218 0.136 0.000 1
Sm1 0.217 0.135 0.500 1
Pd1 0.000 0.500 0.247 1
Pd2 0.116 0.856 0.250 1
# Calculated formation energy = -0.800 eV/atom
# DOS(E_F) = 11.7 states/eV/cell
# E = -5.8098 eV/atom